An optimized crystal structure of SrSnP2Cl. Source: Alexandria, functional PBE-GGA.

The crystal system is tetragonal. For the energy relative to the lowest polymorph listed for this composition, the calculation gives 3.45 eV/f.u. As for the theoretical density: 3.038 g cm⁻³.

Cell lengths 5.5766, 5.5766, 5.3378 Å; angles 90.00, 90.00, 90.00 degrees
Sites, in units of the cell vectors:
Sr 0.0000 0.0000 0.0000
Sn 0.5000 0.5000 0.5000
P 0.0000 0.5000 0.0000
P 0.5000 0.0000 0.0000
Cl 0.0000 0.0000 0.5000

=====

An optimized crystal structure of GdTlPd2. Source: Alexandria, functional PBE-GGA.

For the energy of formation from the pure elements, the calculation gives -2.14 eV/f.u. The crystal system is tetragonal. As for the theoretical density: 11.499 g cm⁻³.

Cell lengths 4.7081, 4.7081, 3.7425 Å; angles 90.00, 90.00, 90.00 degrees
Sites, in units of the cell vectors:
Gd 0.0000 0.0000 0.0000
Tl 0.5000 0.5000 0.0000
Pd 0.0000 0.5000 0.5000
Pd 0.5000 0.0000 0.5000

=====

An optimized crystal structure of MnReNi2H. Source: Alexandria, functional PBE-GGA.

The crystal system is tetragonal. For the energy relative to the lowest polymorph listed for this composition, the calculation gives 0.05 eV/f.u. As for the theoretical density: 11.721 g cm⁻³.

Cell lengths 3.6079, 3.6079, 3.9130 Å; angles 90.00, 90.00, 90.00 degrees
Sites, in units of the cell vectors:
Mn 0.0000 0.0000 0.0000
Re 0.5000 0.5000 0.0000
Ni 0.0000 0.5000 0.5000
Ni 0.5000 0.0000 0.5000
H 0.5000 0.5000 0.5000

=====

An optimized crystal structure of CsSrInBi2. Source: Alexandria, functional PBE-GGA.

For the energy of formation from the pure elements, the calculation gives 4.59 eV/f.u. The crystal system is tetragonal. As for the theoretical density: 4.053 g cm⁻³.

Cell lengths 7.0279, 7.0279, 6.2483 Å; angles 90.00, 90.00, 90.00 degrees
Sites, in units of the cell vectors:
Cs 0.0000 0.0000 0.0000
Sr 0.0000 0.0000 0.5000
In 0.5000 0.5000 0.5000
Bi 0.0000 0.5000 0.0000
Bi 0.5000 0.0000 0.0000

=====

An optimized crystal structure of MgScSnHg. Source: Alexandria, functional PBE-GGA.

For the energy of formation from the pure elements, the calculation gives -1.22 eV/f.u. The crystal system is cubic. For the energy relative to the lowest polymorph listed for this composition, the calculation gives 0.41 eV/f.u. As for the theoretical density: 7.204 g cm⁻³.

Cell lengths 5.0222, 5.0222, 5.0222 Å; angles 60.00, 60.00, 60.00 degrees
Sites, in units of the cell vectors:
Mg 0.0000 0.0000 0.0000
Sc 0.5000 0.5000 0.5000
Sn 0.2500 0.2500 0.2500
Hg 0.7500 0.7500 0.7500

=====

An optimized crystal structure of InOs2Ru. Source: Alexandria, functional PBE-GGA.

For the energy of formation from the pure elements, the calculation gives 2.21 eV/f.u. The crystal system is orthorhombic. As for the theoretical density: 15.884 g cm⁻³.

Cell lengths 4.9042, 4.9042, 2.8139 Å; angles 90.00, 90.00, 112.90 degrees
Sites, in units of the cell vectors:
In 0.0000 0.0000 0.0000
Os 0.0000 0.5000 0.5000
Os 0.5000 0.0000 0.5000
Ru 0.5000 0.5000 0.0000